Here is a relaxed Tl3Cr2FeF9 crystal from the Alexandria database. Energies are from GGA+U.

Values from the calculation:
Its total energy is -77.3 eV per formula unit. The volume is 232.8 Å³/cell. The total magnetization is 12.00 μB/cell.

The structure in CIF format:
```
data_Tl3Cr2FeF9
_space_group_name_H-M_alt 'P -3 m 1'
_space_group_IT_number 164
_space_group_name_Hall '-P 3 2"'
_cell_length_a 6.0548
_cell_length_b 6.0548
_cell_length_c 7.3320
_cell_angle_alpha 90.00
_cell_angle_beta 90.00
_cell_angle_gamma 120.00
loop_
_atom_site_label
_atom_site_fract_x
_atom_site_fract_y
_atom_site_fract_z
Tl1 0.0000 0.0000 0.0000
Tl2 0.3333 0.6667 0.6631
Cr1 0.3333 0.6667 0.1653
Fe1 0.0000 0.0000 0.5000
F1 0.0000 0.5000 0.0000
F2 0.1669 0.3337 0.3365
```